Density functional theory data (PBE with a Hubbard U) for a geometry-optimized La2BeVO6 structure.

## Properties
- VASP energy (eV/cell) = -79.0
- total moment (μB/cell) = 1.00
- space-group type = P1

Geometry as POSCAR:
```
La2BeVO6
1.0
5.420 0.000 0.000
2.659 4.728 0.000
2.593 1.476 4.690
La Be V O
2 1 1 6
direct
0.000 0.000 0.000
0.496 0.502 0.517
0.720 0.684 0.887
0.239 0.254 0.250
0.052 0.513 0.907
0.410 0.016 0.536
0.517 0.941 0.035
0.557 0.461 0.983
0.934 0.091 0.437
0.989 0.571 0.393
```